Entry from Alexandria via LeMat-Bulk: a relaxed Zn2PbSe crystal (PBEsol).

Unit cell a=4.672 b=5.128 c=6.816 alpha=90.00 beta=90.00 gamma=90.00
Space group Cmmm (No. 65)
Unique sites:
Zn 0.000 0.000 0.201
Pb 0.000 0.500 0.500
Se 0.000 0.500 0.000

Properties
polymorph energy (0 for the lowest one) = 0.00 eV per formula unit
energy = -2.6956 eV/atom
formation energy (no corrections) = 0.058 eV/atom
density = 8.48 g/cm3

***

Entry from Alexandria via LeMat-Bulk: a relaxed Zn2PbSe crystal (PBEsol).

Unit cell a=3.765 b=4.361 c=5.110 alpha=90.00 beta=90.00 gamma=90.00
Space group Pmmm (No. 47)
Unique sites:
Zn 0.000 0.000 0.000
Zn 0.500 0.000 0.500
Pb 0.000 0.500 0.500
Se 0.500 0.500 0.000

Properties
polymorph energy (0 for the lowest one) = 0.28 eV per formula unit
energy = -2.6260 eV/atom
formation energy (no corrections) = 0.127 eV/atom
density = 8.25 g/cm3

***

Entry from Alexandria via LeMat-Bulk: a relaxed ZnPbSe2 crystal (PBEsol).

Unit cell a=11.727 b=4.026 c=4.545 alpha=90.00 beta=92.37 gamma=90.00
Space group Cm (No. 8)
Unique sites:
Zn 0.000 0.000 0.000
Pb 0.201 0.500 0.690
Se 0.184 0.000 0.233
Se 0.446 0.000 0.739

Properties
energy = -3.7196 eV/atom
formation energy (no corrections) = -0.399 eV/atom
density = 6.67 g/cm3